A plane-wave DFT calculation with PBE-GGA was carried out for a geometry-optimized MnMoP2 structure.

Values from the calculation:
Formation energy, kcal/mol of atoms: -7.72
Uncorrected energy, Ry per atom: -0.5909
Magnetization, μB/f.u.: 2.2

```
data_MnMoP2
_space_group_name_H-M_alt 'C 1 m 1'
_space_group_IT_number 8
_cell_length_a 8.4073
_cell_length_b 3.0858
_cell_length_c 4.2036
_cell_angle_alpha 90.00
_cell_angle_beta 103.91
_cell_angle_gamma 90.00
loop_
_space_group_symop_operation_xyz
'x,y,z'
'x,-y,z'
'x+1/2,y+1/2,z'
'x+1/2,-y+1/2,z'
loop_
_atom_site_label
_atom_site_type_symbol
_atom_site_fract_x
_atom_site_fract_y
_atom_site_fract_z
Mn1 Mn 0.0000 0.0000 0.0000
Mo1 Mo 0.2190 0.0000 0.5942
P1 P 0.2294 0.5000 0.1013
P2 P 0.4889 0.0000 0.4774
```